Computed, not measured: crystalline La2ZnHg2 at its relaxed geometry at the GGA-PBE level of DFT.

Computed properties:
Formation energy: -0.3496 eV/atom
Crystal system: monoclinic
Symmetry: C2/m
Energy relative to the lowest polymorph listed for this composition: 0.000 eV per atom

Cell lengths 6.3239, 6.3239, 6.8931 Å; angles 122.83, 122.83, 37.89 degrees
With the nearest neighbours (Å) after each atom.
Element x y z (fractional)
1 La 0.2165 0.2165 0.2172  6 Hg 3.34-3.36, 2 Zn 3.45
2 La 0.7835 0.7835 0.7828  6 Hg 3.34-3.36, 2 Zn 3.45
3 Zn 0.0000 0.0000 0.5000  4 Hg 2.78
4 Hg 0.4993 0.4993 0.2282  2 Zn 2.78
5 Hg 0.5007 0.5007 0.7718  2 Zn 2.78

Computed, not measured: crystalline Ca3C5 at its relaxed geometry at the GGA-PBE level of DFT.

Computed properties:
Formation energy: 1.6218 eV/atom
Crystal system: tetragonal
Symmetry: P4/mmm
Energy relative to the lowest polymorph listed for this composition: 1.145 eV per atom

Cell lengths 2.7379, 2.7379, 12.1261 Å; angles 90.00, 90.00, 90.00 degrees
With the nearest neighbours (Å) after each atom.
Element x y z (fractional)
1 Ca 0.0000 0.0000 0.0000  10 C 2.44-2.69
2 Ca 0.5000 0.5000 0.3608  9 C 2.50-2.73, 4 Ca 2.74
3 Ca 0.5000 0.5000 0.6392  9 C 2.50-2.73, 4 Ca 2.74
4 C 0.0000 0.0000 0.2016  4 C 2.02
5 C 0.0000 0.0000 0.5000  8 Ca 2.57, 4 C 2.74
6 C 0.0000 0.0000 0.7984  4 C 2.02
7 C 0.5000 0.5000 0.1543  4 C 2.02
8 C 0.5000 0.5000 0.8457  4 C 2.02

Computed, not measured: crystalline LiNpPb2S4 at its relaxed geometry at the GGA-PBE level of DFT.

Computed properties:
Crystal system: monoclinic
Symmetry: P2/m
E_form (uncorrected): -0.89 eV per atom

Cell lengths 6.9153, 4.0867, 7.1841 Å; angles 90.00, 108.74, 90.00 degrees
With the nearest neighbours (Å) after each atom.
Element x y z (fractional)
1 Li 0.0000 0.0000 0.0000  6 S 2.75-2.81
2 Np 0.5000 0.5000 0.0000  6 S 2.75-2.78
3 Pb 0.0000 0.5000 0.5000  6 S 2.99-3.03
4 Pb 0.5000 0.0000 0.5000  6 S 2.99
5 S 0.2450 0.5000 0.2251  1 Np 2.75, 2 Li 2.81, 3 Pb 2.99
6 S 0.2605 0.0000 0.7811  1 Li 2.75, 2 Np 2.78, 3 Pb 2.99-3.03
7 S 0.7395 0.0000 0.2189  1 Li 2.75, 2 Np 2.78, 3 Pb 2.99-3.03
8 S 0.7550 0.5000 0.7749  1 Np 2.75, 2 Li 2.81, 3 Pb 2.99

Computed, not measured: crystalline BiPd2O at its relaxed geometry at the GGA-PBE level of DFT.

Computed properties:
Crystal system: tetragonal
Symmetry: I-42d
Energy relative to the lowest polymorph listed for this composition: 0.000 eV per atom
E_form (uncorrected): -0.13 eV per atom

Cell lengths 7.1574, 7.1574, 7.1574 Å; angles 138.56, 138.56, 60.05 degrees
With the nearest neighbours (Å) after each atom.
Element x y z (fractional)
1 Bi 0.0000 0.0000 0.0000  4 Pd 2.89
2 Bi 0.7500 0.2500 0.5000  4 Pd 2.89
3 Pd 0.2862 0.6250 0.1612  2 O 2.05
4 Pd 0.3750 0.5362 0.6612  2 O 2.05
5 Pd 0.4638 0.1250 0.8388  2 O 2.05
6 Pd 0.8750 0.7138 0.3388  2 O 2.05
7 O 0.2500 0.7500 0.5000  4 Pd 2.05
8 O 0.5000 0.5000 0.0000  4 Pd 2.05

Computed, not measured: crystalline K3Dy3TiTe8 at its relaxed geometry at the GGA-PBE level of DFT.

Computed properties:
Crystal system: trigonal
Symmetry: R-3m
E_form (uncorrected): -1.21 eV per atom

Cell lengths 9.8459, 9.8459, 9.8459 Å; angles 52.48, 52.48, 52.48 degrees
With the nearest neighbours (Å) after each atom.
Element x y z (fractional)
1 K 0.0000 0.5000 0.5000  6 Te 3.51-3.54
2 K 0.5000 0.0000 0.5000  6 Te 3.51-3.54
3 K 0.5000 0.5000 0.0000  6 Te 3.51-3.54
4 Dy 0.0000 0.0000 0.5000  6 Te 3.08-3.09
5 Dy 0.0000 0.5000 0.0000  6 Te 3.08-3.09
6 Dy 0.5000 0.0000 0.0000  6 Te 3.08-3.09
7 Ti 0.5000 0.5000 0.5000  6 Te 2.87
8 Te 0.2367 0.2367 0.2367  3 Dy 3.08
9 Te 0.2550 0.7205 0.7205  1 Ti 2.87, 2 Dy 3.09
10 Te 0.2795 0.2795 0.7450  1 Ti 2.87, 2 Dy 3.09
11 Te 0.2795 0.7450 0.2795  1 Ti 2.87, 2 Dy 3.09
12 Te 0.7205 0.2550 0.7205  1 Ti 2.87, 2 Dy 3.09
13 Te 0.7205 0.7205 0.2550  1 Ti 2.87, 2 Dy 3.09
14 Te 0.7450 0.2795 0.2795  1 Ti 2.87, 2 Dy 3.09
15 Te 0.7633 0.7633 0.7633  3 Dy 3.08

Computed, not measured: crystalline TlSbIr2 at its relaxed geometry at the GGA-PBE level of DFT.

Computed properties:
Crystal system: tetragonal
Symmetry: I-42d
Energy relative to the lowest polymorph listed for this composition: 0.393 eV per atom
E_form (uncorrected): 0.71 eV per atom

Cell lengths 7.1495, 7.1495, 7.1495 Å; angles 128.47, 128.47, 75.87 degrees
With the nearest neighbours (Å) after each atom.
Element x y z (fractional)
1 Tl 0.0000 0.0000 0.0000  4 Ir 2.69
2 Tl 0.7500 0.2500 0.5000  4 Ir 2.69
3 Sb 0.2500 0.7500 0.5000  4 Ir 2.53
4 Sb 0.5000 0.5000 0.0000  4 Ir 2.53
5 Ir 0.1470 0.6250 0.0220  2 Sb 2.53, 2 Tl 2.69
6 Ir 0.3750 0.3970 0.5220  2 Sb 2.53, 2 Tl 2.69
7 Ir 0.6030 0.1250 0.9780  2 Sb 2.53, 2 Tl 2.69
8 Ir 0.8750 0.8530 0.4780  2 Sb 2.53, 2 Tl 2.69

Computed, not measured: crystalline KCaAs2 at its relaxed geometry at the GGA-PBE level of DFT.

Computed properties:
Formation energy: -0.5478 eV/atom
Crystal system: tetragonal
Symmetry: P4/mmm
Energy relative to the lowest polymorph listed for this composition: 0.181 eV per atom

Cell lengths 3.3304, 3.3304, 9.1074 Å; angles 90.00, 90.00, 90.00 degrees
With the nearest neighbours (Å) after each atom.
Element x y z (fractional)
1 K 0.0000 0.0000 0.0000  4 K 3.33, 8 As 3.43
2 Ca 0.0000 0.0000 0.5000  8 As 3.13, 4 Ca 3.33
3 As 0.5000 0.5000 0.2733  4 Ca 3.13, 4 As 3.33, 4 K 3.43
4 As 0.5000 0.5000 0.7267  4 Ca 3.13, 4 As 3.33, 4 K 3.43

Computed, not measured: crystalline CoAgCl2 at its relaxed geometry at the GGA-PBE level of DFT.

Computed properties:
Crystal system: monoclinic
Symmetry: Pm
Energy relative to the lowest polymorph listed for this composition: 0.000 eV per atom
E_form (uncorrected): -0.17 eV per atom

Cell lengths 3.9417, 3.3300, 7.1341 Å; angles 90.00, 105.91, 90.00 degrees
With the nearest neighbours (Å) after each atom.
Element x y z (fractional)
1 Co 0.0000 0.0000 0.0000  3 Cl 2.24-2.25
2 Ag 0.4253 0.5000 0.8494  4 Co 2.78, 4 Cl 2.85
3 Cl 0.1103 0.5000 0.2217  2 Co 2.25
4 Cl 0.8376 0.0000 0.6733  1 Co 2.24

Computed, not measured: crystalline CsAuS5 at its relaxed geometry at the GGA-PBE level of DFT.

Computed properties:
Crystal system: monoclinic
Symmetry: C2/c
E_form (uncorrected): -0.25 eV per atom

Cell lengths 9.4842, 9.4842, 7.5008 Å; angles 111.33, 111.33, 107.88 degrees
With the nearest neighbours (Å) after each atom.
Element x y z (fractional)
1 Cs 0.1056 0.8944 0.7500  4 S 3.61-3.65
2 Cs 0.8944 0.1056 0.2500  4 S 3.61-3.65
3 Au 0.0000 0.5000 0.0000  2 S 2.33
4 Au 0.5000 0.0000 0.5000  2 S 2.33
5 S 0.0064 0.7620 0.1823  1 S 2.11, 1 Au 2.33
6 S 0.2380 0.9936 0.3177  1 S 2.11, 1 Au 2.33
7 S 0.3771 0.4191 0.3386  2 S 2.05-2.16
8 S 0.3987 0.6013 0.2500  2 S 2.05
9 S 0.4191 0.3771 0.8386  2 S 2.05-2.16
10 S 0.5809 0.6229 0.1614  2 S 2.05-2.16
11 S 0.6013 0.3987 0.7500  2 S 2.05
12 S 0.6229 0.5809 0.6614  2 S 2.05-2.16
13 S 0.7620 0.0064 0.6823  1 S 2.11, 1 Au 2.33
14 S 0.9936 0.2380 0.8177  1 S 2.11, 1 Au 2.33

Computed, not measured: crystalline HfZnH at its relaxed geometry at the GGA-PBE level of DFT.

Computed properties:
Crystal system: tetragonal
Symmetry: P4/nmm
Energy relative to the lowest polymorph listed for this composition: 0.000 eV per atom

Cell lengths 3.1198, 3.1198, 7.9227 Å; angles 90.00, 90.00, 90.00 degrees
With the nearest neighbours (Å) after each atom.
Element x y z (fractional)
1 Hf 0.2500 0.2500 0.1700  4 H 2.06
2 Hf 0.7500 0.7500 0.8300  4 H 2.06
3 Zn 0.2500 0.2500 0.5932  4 Zn 2.66, 4 Hf 2.90
4 Zn 0.7500 0.7500 0.4068  4 Zn 2.66, 4 Hf 2.90
5 H 0.2500 0.7500 0.0000  4 Hf 2.06, 4 H 2.21
6 H 0.7500 0.2500 0.0000  4 Hf 2.06, 4 H 2.21

Computed, not measured: crystalline Sm3Al4Ag4 at its relaxed geometry at the GGA-PBE level of DFT.

Computed properties:
Formation energy: -0.3306 eV/atom
Crystal system: monoclinic
Symmetry: C2/m
Energy relative to the lowest polymorph listed for this composition: 0.023 eV per atom

Cell lengths 14.4517, 14.4517, 4.4401 Å; angles 98.75, 98.75, 15.41 degrees
With the nearest neighbours (Å) after each atom.
Element x y z (fractional)
1 Sm 0.0000 0.0000 0.0000  8 Ag 3.26, 4 Al 3.35
2 Sm 0.1467 0.1467 0.6470  6 Ag 3.19-3.37, 6 Al 3.27-3.40
3 Sm 0.8533 0.8533 0.3530  6 Ag 3.19-3.37, 6 Al 3.27-3.40
4 Al 0.2543 0.2543 0.2543  4 Ag 2.66-2.72, 4 Al 2.96
5 Al 0.4033 0.4033 0.9034  3 Ag 2.59-2.65
6 Al 0.5967 0.5967 0.0966  3 Ag 2.59-2.65
7 Al 0.7457 0.7457 0.7457  4 Ag 2.66-2.72, 4 Al 2.96
8 Ag 0.3099 0.3099 0.8099  5 Al 2.65-2.72
9 Ag 0.4507 0.4507 0.4504  2 Al 2.59, 1 Ag 2.79
10 Ag 0.5493 0.5493 0.5496  2 Al 2.59, 1 Ag 2.79
11 Ag 0.6901 0.6901 0.1901  5 Al 2.65-2.72

Computed, not measured: crystalline Pr2TlAu at its relaxed geometry at the GGA-PBE level of DFT.

Computed properties:
Formation energy: -0.5613 eV/atom
Crystal system: tetragonal
Symmetry: P4/mmm

Cell lengths 3.7596, 3.7596, 8.0406 Å; angles 90.00, 90.00, 90.00 degrees
With the nearest neighbours (Å) after each atom.
Element x y z (fractional)
1 Pr 0.0000 0.0000 0.2295  4 Au 3.24, 4 Tl 3.43
2 Pr 0.0000 0.0000 0.7705  4 Au 3.24, 4 Tl 3.43
3 Tl 0.5000 0.5000 0.5000  8 Pr 3.43, 4 Tl 3.76
4 Au 0.5000 0.5000 0.0000  8 Pr 3.24